i | A geometry-optimized GaBi2Pt2 structure, computed with PBE.

Properties
Space-group type ... I4/mmm
Total magnetization ... 0.00 μB per cell
Crystal system ... tetragonal

Unit cell a=3.9628 b=3.9628 c=8.1398 alpha=75.91 beta=75.91 gamma=90.00
With the nearest neighbours (Å) after each atom.
Element x y z (fractional)
Ga 0.0000 0.0000 0.0000  8 Bi 3.33
Bi 0.3826 0.3826 0.2347  4 Pt 2.83
Bi 0.6174 0.6174 0.7653  4 Pt 2.83
Pt 0.7500 0.2500 0.5000  4 Pt 2.80, 4 Bi 2.83
Pt 0.2500 0.7500 0.5000  4 Pt 2.80, 4 Bi 2.83

=====

ii | A geometry-optimized GaBi2Pt2 structure, computed with PBE.

Properties
Space-group type ... P4/mbm
Total magnetization ... 0.00 μB per cell
Crystal system ... tetragonal

Unit cell a=8.3783 b=8.3783 c=3.2919 alpha=90.00 beta=90.00 gamma=90.00
With the nearest neighbours (Å) after each atom.
Element x y z (fractional)
Ga 0.0000 0.0000 0.0000  4 Bi 3.18, 2 Ga 3.29
Ga 0.5000 0.5000 0.0000  4 Bi 3.18, 2 Ga 3.29
Bi 0.3476 0.8476 0.0000  6 Pt 2.95-2.96, 2 Ga 3.18, 2 Bi 3.29
Bi 0.8476 0.6524 0.0000  6 Pt 2.95-2.96, 2 Ga 3.18, 2 Bi 3.29
Bi 0.6524 0.1524 0.0000  6 Pt 2.95-2.96, 2 Ga 3.18, 2 Bi 3.29
Bi 0.1524 0.3476 0.0000  6 Pt 2.95-2.96, 2 Ga 3.18, 2 Bi 3.29
Pt 0.1408 0.6408 0.5000  6 Bi 2.95-2.96, 2 Pt 3.29
Pt 0.6408 0.8592 0.5000  6 Bi 2.95-2.96, 2 Pt 3.29
Pt 0.8592 0.3592 0.5000  6 Bi 2.95-2.96, 2 Pt 3.29
Pt 0.3592 0.1408 0.5000  6 Bi 2.95-2.96, 2 Pt 3.29

=====

iii | A geometry-optimized GaBi2Pt2 structure, computed with PBE.

Properties
Space-group type ... P4/mbm
Total magnetization ... 0.00 μB per cell
Crystal system ... tetragonal

Unit cell a=6.6012 b=6.6012 c=5.0607 alpha=90.00 beta=90.00 gamma=90.00
With the nearest neighbours (Å) after each atom.
Element x y z (fractional)
Ga 0.0000 0.0000 0.0000  4 Pt 2.52
Ga 0.5000 0.5000 0.0000  4 Pt 2.52
Bi 0.1830 0.6830 0.5000  2 Pt 2.99
Bi 0.6830 0.8170 0.5000  2 Pt 2.99
Bi 0.8170 0.3170 0.5000  2 Pt 2.99
Bi 0.3170 0.1830 0.5000  2 Pt 2.99
Pt 0.3530 0.8530 0.0000  2 Ga 2.52, 1 Pt 2.74
Pt 0.8530 0.6470 0.0000  2 Ga 2.52, 1 Pt 2.74
Pt 0.6470 0.1470 0.0000  2 Ga 2.52, 1 Pt 2.74
Pt 0.1470 0.3530 0.0000  2 Ga 2.52, 1 Pt 2.74

=====

Short version: iii is the most stable of them.